w) # PBE PaCdNi, relaxed
# * total magnetic moment: 0.000 μB per cell
data_PaCdNi
_symmetry_space_group_name_H-M 'I 4 m m'
_symmetry_Int_Tables_number 107
_symmetry_space_group_name_Hall 'I 4 -2'
_cell_length_a 3.128
_cell_length_b 3.128
_cell_length_c 11.919
_cell_angle_alpha 90.00
_cell_angle_beta 90.00
_cell_angle_gamma 90.00
loop_
_atom_site_label
_atom_site_fract_x
_atom_site_fract_y
_atom_site_fract_z
_atom_site_occupancy
Pa1 0.000 0.000 0.000 1
Cd1 0.000 0.000 0.715 1
Ni1 0.000 0.000 0.363 1


x) # PBE PaCdNi, relaxed
# * total magnetic moment: 0.003 μB per cell
data_PaCdNi
_symmetry_space_group_name_H-M 'R -3 m'
_symmetry_Int_Tables_number 166
_symmetry_space_group_name_Hall '-R 3 2"'
_cell_length_a 4.3361
_cell_length_b 4.3361
_cell_length_c 21.6002
_cell_angle_alpha 90.00
_cell_angle_beta 90.00
_cell_angle_gamma 120.00
loop_
_atom_site_label
_atom_site_fract_x
_atom_site_fract_y
_atom_site_fract_z
_atom_site_occupancy
Pa1 0.0000 0.0000 0.2017 1
Cd1 0.0000 0.0000 0.3635 1
Ni1 0.0000 0.0000 0.0702 1


Energy ordering: w) at the bottom, the next structure 126 meV/atom above.


w) # PBE Cd2NiPb, relaxed
# * total magnetic moment: 0.000 μB per cell
data_Cd2NiPb
_symmetry_space_group_name_H-M 'I m m 2'
_symmetry_Int_Tables_number 44
_cell_length_a 3.053
_cell_length_b 4.501
_cell_length_c 13.054
_cell_angle_alpha 90.00
_cell_angle_beta 90.00
_cell_angle_gamma 90.00
loop_
_symmetry_equiv_pos_as_xyz
'x,y,z'
'-x,-y,z'
'-x,y,z'
'x,-y,z'
'x+1/2,y+1/2,z+1/2'
'-x+1/2,-y+1/2,z+1/2'
'-x+1/2,y+1/2,z+1/2'
'x+1/2,-y+1/2,z+1/2'
loop_
_atom_site_label
_atom_site_fract_x
_atom_site_fract_y
_atom_site_fract_z
_atom_site_occupancy
Cd1 0.000 0.000 0.000 1
Cd2 0.000 0.500 0.166 1
Ni1 0.000 0.500 0.673 1
Pb1 0.000 0.000 0.353 1


x) # PBE Cd2NiPb, relaxed
# * total magnetic moment: 0.000 μB per cell
data_Cd2NiPb
_symmetry_space_group_name_H-M 'C m m m'
_symmetry_Int_Tables_number 65
_symmetry_space_group_name_Hall '-C 2 2'
_cell_length_a 5.665
_cell_length_b 8.149
_cell_length_c 3.718
_cell_angle_alpha 90.00
_cell_angle_beta 90.00
_cell_angle_gamma 90.00
loop_
_atom_site_label
_atom_site_fract_x
_atom_site_fract_y
_atom_site_fract_z
_atom_site_occupancy
Cd1 0.250 0.250 0.000 1
Ni1 0.000 0.000 0.500 1
Pb1 0.000 0.500 0.500 1


y) # PBE Cd2NiPb, relaxed
# * total magnetic moment: 0.000 μB per cell
data_Cd2NiPb
_symmetry_space_group_name_H-M 'I -4 m 2'
_symmetry_Int_Tables_number 119
_symmetry_space_group_name_Hall 'I -4 -2'
_cell_length_a 4.398
_cell_length_b 4.398
_cell_length_c 8.614
_cell_angle_alpha 90.00
_cell_angle_beta 90.00
_cell_angle_gamma 90.00
loop_
_atom_site_label
_atom_site_fract_x
_atom_site_fract_y
_atom_site_fract_z
_atom_site_occupancy
Cd1 0.000 0.000 0.000 1
Cd2 0.000 0.500 0.250 1
Ni1 0.000 0.500 0.750 1
Pb1 0.000 0.000 0.500 1


z) # PBE Cd2NiPb, relaxed
# * total magnetic moment: 0.000 μB per cell
data_Cd2NiPb
_symmetry_space_group_name_H-M 'I 4/m m m'
_symmetry_Int_Tables_number 139
_symmetry_space_group_name_Hall '-I 4 2'
_cell_length_a 4.228
_cell_length_b 4.228
_cell_length_c 9.270
_cell_angle_alpha 90.00
_cell_angle_beta 90.00
_cell_angle_gamma 90.00
loop_
_atom_site_label
_atom_site_fract_x
_atom_site_fract_y
_atom_site_fract_z
_atom_site_occupancy
Cd1 0.000 0.500 0.250 1
Ni1 0.000 0.000 0.000 1
Pb1 0.000 0.000 0.500 1


Energy ordering: w) at the bottom, the next structure 161 meV/atom above.


w) # PBE Cd2NiPb, relaxed
# * total magnetic moment: 0.000 μB per cell
data_Cd2NiPb
_symmetry_space_group_name_H-M 'P 4/m m m'
_symmetry_Int_Tables_number 123
_symmetry_space_group_name_Hall '-P 4 2'
_cell_length_a 4.190
_cell_length_b 4.190
_cell_length_c 4.779
_cell_angle_alpha 90.00
_cell_angle_beta 90.00
_cell_angle_gamma 90.00
loop_
_atom_site_label
_atom_site_fract_x
_atom_site_fract_y
_atom_site_fract_z
_atom_site_occupancy
Cd1 0.000 0.500 0.000 1
Ni1 0.000 0.000 0.500 1
Pb1 0.500 0.500 0.500 1


x) # PBE Cd2NiPb, relaxed
# * total magnetic moment: 0.000 μB per cell
data_Cd2NiPb
_symmetry_space_group_name_H-M 'P 1 2/m 1'
_symmetry_Int_Tables_number 10
_cell_length_a 3.654
_cell_length_b 4.655
_cell_length_c 5.374
_cell_angle_alpha 90.00
_cell_angle_beta 105.99
_cell_angle_gamma 90.00
loop_
_symmetry_equiv_pos_as_xyz
'x,y,z'
'-x,-y,-z'
'-x,y,-z'
'x,-y,z'
loop_
_atom_site_label
_atom_site_fract_x
_atom_site_fract_y
_atom_site_fract_z
_atom_site_occupancy
Cd1 0.153 0.000 0.283 1
Ni1 0.500 0.500 0.500 1
Pb1 0.500 0.500 0.000 1


Energy ordering: x) at the bottom, the next structure 42 meV/atom above.


w) # PBE Cd2NiPb, relaxed
# * total magnetic moment: 0.000 μB per cell
data_Cd2NiPb
_symmetry_space_group_name_H-M 'F m -3 m'
_symmetry_Int_Tables_number 225
_symmetry_space_group_name_Hall '-F 4 2 3'
_cell_length_a 7.015
_cell_length_b 7.015
_cell_length_c 7.015
_cell_angle_alpha 90.00
_cell_angle_beta 90.00
_cell_angle_gamma 90.00
loop_
_atom_site_label
_atom_site_fract_x
_atom_site_fract_y
_atom_site_fract_z
_atom_site_occupancy
Cd1 0.250 0.250 0.250 1
Ni1 0.000 0.000 0.000 1
Pb1 0.000 0.000 0.500 1


x) # PBE Cd2NiPb, relaxed
# * total magnetic moment: 0.000 μB per cell
data_Cd2NiPb
_symmetry_space_group_name_H-M 'I -4 2 d'
_symmetry_Int_Tables_number 122
_symmetry_space_group_name_Hall 'I -4 2bw'
_cell_length_a 4.133
_cell_length_b 4.133
_cell_length_c 20.810
_cell_angle_alpha 90.00
_cell_angle_beta 90.00
_cell_angle_gamma 90.00
loop_
_atom_site_label
_atom_site_fract_x
_atom_site_fract_y
_atom_site_fract_z
_atom_site_occupancy
Cd1 0.229 0.250 0.125 1
Ni1 0.000 0.000 0.000 1
Pb1 0.000 0.000 0.500 1


y) # PBE Cd2NiPb, relaxed
# * total magnetic moment: 0.000 μB per cell
data_Cd2NiPb
_symmetry_space_group_name_H-M 'C 1 2/m 1'
_symmetry_Int_Tables_number 12
_cell_length_a 12.687
_cell_length_b 3.064
_cell_length_c 4.705
_cell_angle_alpha 90.00
_cell_angle_beta 111.46
_cell_angle_gamma 90.00
loop_
_symmetry_equiv_pos_as_xyz
'x,y,z'
'-x,-y,-z'
'-x,y,-z'
'x,-y,z'
'x+1/2,y+1/2,z'
'-x+1/2,-y+1/2,-z'
'-x+1/2,y+1/2,-z'
'x+1/2,-y+1/2,z'
loop_
_atom_site_label
_atom_site_fract_x
_atom_site_fract_y
_atom_site_fract_z
_atom_site_occupancy
Cd1 0.197 0.000 0.197 1
Ni1 0.000 0.500 0.000 1
Pb1 0.000 0.000 0.500 1


Energy ordering: y) at the bottom, the next structure 168 meV/atom above.